# 1
# ScNi3Mo | Alexandria via LeMat-Bulk | GGA-PBE | optimized geometry
data_ScNi3Mo
_chemical_formula_sum 'Sc1 Ni3 Mo1'
_space_group_name_H-M_alt 'P m -3 m'
_space_group_IT_number 221
_space_group_name_Hall '-P 4 2 3'
_cell_length_a 4.479
_cell_length_b 4.479
_cell_length_c 4.479
_cell_angle_alpha 90.00
_cell_angle_beta 90.00
_cell_angle_gamma 90.00
loop_
_atom_site_label
_atom_site_fract_x
_atom_site_fract_y
_atom_site_fract_z
Sc1 0.000 0.000 0.000
Ni1 0.000 0.500 0.500
Mo1 0.500 0.500 0.500
# Uncorrected energy: -0.2270 hartree per atom
# Formation energy: 724 meV/atom
# Total magnetic moment: 0.0 μB/f.u.
# Density of states at the Fermi level: 0.99 states/eV/atom

# 2
# La4Pu | Alexandria via LeMat-Bulk | GGA-PBE | optimized geometry
data_La4Pu
_chemical_formula_sum 'La4 Pu1'
_space_group_name_H-M_alt 'P m -3 m'
_space_group_IT_number 221
_space_group_name_Hall '-P 4 2 3'
_cell_length_a 5.739
_cell_length_b 5.739
_cell_length_c 5.739
_cell_angle_alpha 90.00
_cell_angle_beta 90.00
_cell_angle_gamma 90.00
loop_
_atom_site_label
_atom_site_fract_x
_atom_site_fract_y
_atom_site_fract_z
La1 0.000 0.000 0.000
La2 0.000 0.500 0.500
Pu1 0.500 0.500 0.500
# Uncorrected energy: -0.2390 hartree per atom
# Formation energy: 305 meV/atom
# Total magnetic moment: 7.8 μB/f.u.
# Density of states at the Fermi level: 1.72 states/eV/atom

# 3
# Sc2MnCo | Alexandria via LeMat-Bulk | GGA-PBE | optimized geometry
data_Sc2MnCo
_chemical_formula_sum 'Sc2 Mn1 Co1'
_space_group_name_H-M_alt 'P 1 m 1'
_space_group_IT_number 6
_space_group_name_Hall 'P -2y'
_cell_length_a 4.156
_cell_length_b 3.332
_cell_length_c 5.457
_cell_angle_alpha 90.00
_cell_angle_beta 112.28
_cell_angle_gamma 90.00
loop_
_atom_site_label
_atom_site_fract_x
_atom_site_fract_y
_atom_site_fract_z
Sc1 0.000 0.000 0.000
Sc2 0.293 0.500 0.587
Mn1 0.585 0.500 0.172
Co1 0.737 0.000 0.476
# Uncorrected energy: -0.2691 hartree per atom
# Formation energy: -87 meV/atom
# Total magnetic moment: 2.7 μB/f.u.
# Density of states at the Fermi level: 1.10 states/eV/atom

# 4
# YZnFe | Alexandria via LeMat-Bulk | GGA-PBE | optimized geometry
data_YZnFe
_chemical_formula_sum 'Y4 Zn4 Fe4'
_space_group_name_H-M_alt 'F -4 3 m'
_space_group_IT_number 216
_space_group_name_Hall 'F -4 2 3'
_cell_length_a 6.578
_cell_length_b 6.578
_cell_length_c 6.578
_cell_angle_alpha 90.00
_cell_angle_beta 90.00
_cell_angle_gamma 90.00
loop_
_atom_site_label
_atom_site_fract_x
_atom_site_fract_y
_atom_site_fract_z
Y1 0.000 0.000 0.000
Zn1 0.250 0.250 0.750
Fe1 0.250 0.250 0.250
# Uncorrected energy: -0.1694 hartree per atom
# Formation energy: 791 meV/atom
# Total magnetic moment: 2.0 μB/f.u.
# Density of states at the Fermi level: 2.56 states/eV/atom

# 5
# NbZn3Pd | Alexandria via LeMat-Bulk | GGA-PBE | optimized geometry
data_NbZn3Pd
_chemical_formula_sum 'Nb1 Zn3 Pd1'
_space_group_name_H-M_alt 'P m -3 m'
_space_group_IT_number 221
_space_group_name_Hall '-P 4 2 3'
_cell_length_a 4.614
_cell_length_b 4.614
_cell_length_c 4.614
_cell_angle_alpha 90.00
_cell_angle_beta 90.00
_cell_angle_gamma 90.00
loop_
_atom_site_label
_atom_site_fract_x
_atom_site_fract_y
_atom_site_fract_z
Nb1 0.000 0.000 0.000
Zn1 0.000 0.500 0.500
Pd1 0.500 0.500 0.500
# Uncorrected energy: -0.1185 hartree per atom
# Formation energy: 592 meV/atom
# Total magnetic moment: 1.1 μB/f.u.
# Density of states at the Fermi level: 0.33 states/eV/atom

# 6
# TaMn | Alexandria via LeMat-Bulk | GGA-PBE | optimized geometry
data_TaMn
_chemical_formula_sum 'Ta4 Mn4'
_space_group_name_H-M_alt 'P 63/m m c'
_space_group_IT_number 194
_space_group_name_Hall '-P 6c 2c'
_cell_length_a 3.7065
_cell_length_b 3.7065
_cell_length_c 10.7030
_cell_angle_alpha 90.00
_cell_angle_beta 90.00
_cell_angle_gamma 120.00
loop_
_atom_site_label
_atom_site_fract_x
_atom_site_fract_y
_atom_site_fract_z
Ta1 0.3333 0.6667 0.0926
Mn1 0.0000 0.0000 0.2500
Mn2 0.3333 0.6667 0.7500
# Uncorrected energy: -0.3715 hartree per atom
# Formation energy: 403 meV/atom
# Total magnetic moment: 0.0 μB/f.u.
# Density of states at the Fermi level: 0.99 states/eV/atom

# 7
# Al2CrRu | Alexandria via LeMat-Bulk | GGA-PBE | optimized geometry
data_Al2CrRu
_chemical_formula_sum 'Al4 Cr2 Ru2'
_space_group_name_H-M_alt 'C m m m'
_space_group_IT_number 65
_space_group_name_Hall '-C 2 2'
_cell_length_a 3.002
_cell_length_b 4.490
_cell_length_c 8.142
_cell_angle_alpha 90.00
_cell_angle_beta 90.00
_cell_angle_gamma 90.00
loop_
_atom_site_label
_atom_site_fract_x
_atom_site_fract_y
_atom_site_fract_z
Al1 0.000 0.000 0.250
Cr1 0.000 0.500 0.000
Ru1 0.000 0.500 0.500
# Uncorrected energy: -0.2468 hartree per atom
# Formation energy: -119 meV/atom
# Total magnetic moment: 0.0 μB/f.u.
# Density of states at the Fermi level: 0.85 states/eV/atom

# 8
# TaMoP | Alexandria via LeMat-Bulk | GGA-PBE | optimized geometry
data_TaMoP
_chemical_formula_sum 'Ta4 Mo4 P4'
_space_group_name_H-M_alt 'P n m a'
_space_group_IT_number 62
_space_group_name_Hall '-P 2ac 2n'
_cell_length_a 5.889
_cell_length_b 4.493
_cell_length_c 7.213
_cell_angle_alpha 90.00
_cell_angle_beta 90.00
_cell_angle_gamma 90.00
loop_
_atom_site_label
_atom_site_fract_x
_atom_site_fract_y
_atom_site_fract_z
Ta1 0.062 0.250 0.112
Mo1 0.175 0.750 0.298
P1 0.148 0.250 0.478
# Uncorrected energy: -0.3513 hartree per atom
# Formation energy: -194 meV/atom
# Total magnetic moment: 0.0 μB/f.u.
# Density of states at the Fermi level: 0.43 states/eV/atom

# 9
# Sm8PdAu2 | Alexandria via LeMat-Bulk | GGA-PBE | optimized geometry
data_Sm8PdAu2
_chemical_formula_sum 'Sm16 Pd2 Au4'
_space_group_name_H-M_alt 'C 1 m 1'
_space_group_IT_number 8
_space_group_name_Hall 'C -2y'
_cell_length_a 8.557
_cell_length_b 13.928
_cell_length_c 6.012
_cell_angle_alpha 90.00
_cell_angle_beta 112.47
_cell_angle_gamma 90.00
loop_
_atom_site_label
_atom_site_fract_x
_atom_site_fract_y
_atom_site_fract_z
Sm1 0.000 0.000 0.000
Sm2 0.088 0.377 0.807
Sm3 0.141 0.123 0.564
Sm4 0.237 0.500 0.391
Sm5 0.363 0.202 0.194
Pd1 0.372 0.000 0.361
Au1 0.369 0.299 0.698
# Uncorrected energy: -0.1765 hartree per atom
# Formation energy: -304 meV/atom
# Total magnetic moment: 0.0 μB/f.u.
# Density of states at the Fermi level: 1.35 states/eV/atom

# 10
# CaSn2Br8 | Alexandria via LeMat-Bulk | GGA-PBE | optimized geometry
data_CaSn2Br8
_chemical_formula_sum 'Ca2 Sn4 Br16'
_space_group_name_H-M_alt 'C 1 2/m 1'
_space_group_IT_number 12
_space_group_name_Hall '-C 2y'
_cell_length_a 13.629
_cell_length_b 10.953
_cell_length_c 6.811
_cell_angle_alpha 90.00
_cell_angle_beta 99.24
_cell_angle_gamma 90.00
loop_
_atom_site_label
_atom_site_fract_x
_atom_site_fract_y
_atom_site_fract_z
Ca1 0.000 0.000 0.000
Sn1 0.220 0.000 0.686
Br1 0.091 0.500 0.114
Br2 0.099 0.177 0.776
Br3 0.188 0.000 0.283
# Uncorrected formation energy: -0.962 eV per atom
# Uncorrected energy: -0.1135 hartree per atom
# Total magnetic moment: 0.0 μB/f.u.